Compound: ZrFe2HgRu
Source: Alexandria via LeMat-Bulk
Functional: GGA-PBE
Structure: relaxed

Cell lengths 4.4466, 4.4466, 5.3260 Å; angles 90.00, 90.00, 90.00 degrees
With the nearest neighbours (Å) after each atom.
Atoms (fractional coordinates):
Zr: 0.0000 0.0000 0.0000  4 Fe 2.22
Fe: 0.0000 0.5000 0.0000  2 Zr 2.22
Fe: 0.5000 0.0000 0.0000  2 Zr 2.22
Hg: 0.0000 0.0000 0.5000  2 Zr 2.66
Ru: 0.5000 0.5000 0.5000  4 Hg 3.14, 8 Fe 3.47

Computed properties:
V	21.1	Å³/atom
formation enthalpy at 0 K	1.78	eV/atom

---

Compound: FeHg3S
Source: Alexandria via LeMat-Bulk
Functional: GGA-PBE
Structure: relaxed

Cell lengths 5.2714, 5.2714, 5.2714 Å; angles 90.00, 90.00, 90.00 degrees
With the nearest neighbours (Å) after each atom.
Atoms (fractional coordinates):
Fe: 0.0000 0.0000 0.0000  12 Hg 3.73
Hg: 0.0000 0.5000 0.5000  2 S 2.64
Hg: 0.5000 0.0000 0.5000  2 S 2.64
Hg: 0.5000 0.5000 0.0000  2 S 2.64
S: 0.5000 0.5000 0.5000  6 Hg 2.64

Computed properties:
V	29.3	Å³/atom
polymorph energy (0 for the lowest one)	306	meV per atom
uncorrected formation energy	0.971	eV/atom

---

Compound: FeHg2S
Source: Alexandria via LeMat-Bulk
Functional: GGA-PBE
Structure: relaxed

Cell lengths 7.0162, 7.0162, 7.0162 Å; angles 94.84, 94.84, 146.24 degrees
With the nearest neighbours (Å) after each atom.
Atoms (fractional coordinates):
Fe: 0.0000 0.0000 0.0000  2 S 2.04
Fe: 0.7500 0.2500 0.5000  2 S 2.04
Hg: 0.3750 0.2484 0.3734  2 Fe 2.70
Hg: 0.7516 0.1250 0.1266  2 Fe 2.70
Hg: 0.8750 0.0016 0.6266  2 Fe 2.70
Hg: 0.9984 0.6250 0.8734  2 Fe 2.70
S: 0.2500 0.7500 0.5000  2 Fe 2.04
S: 0.5000 0.5000 0.0000  2 Fe 2.04

Computed properties:
V	23.0	Å³/atom
uncorrected formation energy	0.198	eV/atom

---

Compound: Fe2HgS2
Source: Alexandria via LeMat-Bulk
Functional: GGA-PBE
Structure: relaxed

Cell lengths 5.9352, 5.9352, 5.9352 Å; angles 142.74, 142.74, 53.71 degrees
With the nearest neighbours (Å) after each atom.
Atoms (fractional coordinates):
Fe: 0.1406 0.1406 0.0000  4 S 2.22
Fe: 0.8594 0.8594 0.0000  4 S 2.22
Hg: 0.5000 0.5000 0.0000  8 Fe 3.07, 8 S 3.26
S: 0.2500 0.7500 0.5000  4 Fe 2.22
S: 0.7500 0.2500 0.5000  4 Fe 2.22

Computed properties:
V	15.2	Å³/atom
polymorph energy (0 for the lowest one)	622	meV per atom
uncorrected formation energy	0.229	eV/atom

---

Compound: Fe2HgS2
Source: Alexandria via LeMat-Bulk
Functional: GGA-PBE
Structure: relaxed

Cell lengths 7.1143, 7.1143, 3.1778 Å; angles 90.00, 90.00, 90.00 degrees
With the nearest neighbours (Å) after each atom.
Atoms (fractional coordinates):
Fe: 0.1231 0.3769 0.0000  1 Fe 2.48, 4 S 2.50
Fe: 0.3769 0.8769 0.0000  1 Fe 2.48, 4 S 2.50
Fe: 0.6231 0.1231 0.0000  1 Fe 2.48, 4 S 2.50
Fe: 0.8769 0.6231 0.0000  1 Fe 2.48, 4 S 2.50
Hg: 0.0000 0.0000 0.0000  4 Fe 2.82, 8 S 3.15
Hg: 0.5000 0.5000 0.0000  4 Fe 2.82, 8 S 3.15
S: 0.1475 0.6475 0.5000  6 Fe 2.50-2.80
S: 0.3525 0.1475 0.5000  6 Fe 2.50-2.80
S: 0.6475 0.8525 0.5000  6 Fe 2.50-2.80
S: 0.8525 0.3525 0.5000  6 Fe 2.50-2.80

Computed properties:
V	16.1	Å³/atom
polymorph energy (0 for the lowest one)	569	meV per atom
uncorrected formation energy	0.176	eV/atom

---

Compound: Fe2HgS2
Source: Alexandria via LeMat-Bulk
Functional: GGA-PBE
Structure: relaxed

Cell lengths 8.8644, 8.8644, 8.8644 Å; angles 156.68, 156.68, 33.21 degrees
With the nearest neighbours (Å) after each atom.
Atoms (fractional coordinates):
Fe: 0.2500 0.7500 0.5000  4 S 2.17
Fe: 0.7500 0.2500 0.5000  4 S 2.17
Hg: 0.0000 0.0000 0.0000  4 Hg 3.58, 8 S 3.95
S: 0.3219 0.3219 0.0000  4 Fe 2.17
S: 0.6781 0.6781 0.0000  4 Fe 2.17

Computed properties:
V	21.8	Å³/atom
polymorph energy (0 for the lowest one)	0	meV per atom
uncorrected formation energy	-0.393	eV/atom

---

| no. | M_tot (μB per atom) | raw total energy (eV per atom) |
| --- | --- | --- |
| 1 | 0.98 | -5.2334 |
| 2 | 0.68 | -1.7282 |
| 3 | 0.00 | -3.1002 |
| 4 | 0.13 | -4.8676 |
| 5 | 1.25 | -4.9199 |
| 6 | 0.00 | -5.4894 |